(1)
AcZnCu3Ni | PBE-GGA | optimized geometry

It has space group Cmcm (No. 63), with a = 5.1142 Å, b = 15.5392 Å, c = 5.2691 Å, α = 90.00°, β = 90.00° and γ = 90.00°. Symmetry generates all atoms from Ac at (0.0000, 0.2122, 0.2500), Zn at (0.0000, 0.1107, 0.7500), Cu at (0.0000, 0.3856, 0.7500), Cu at (0.2492, 0.0000, 0.0000) and Ni at (0.0000, 0.3890, 0.2500).

As for the size of the total moment: 0.0 μB/f.u. The density is 8.6 g/cm³. For the energy, the calculation gives -3.965 eV/atom. The value obtained for the calculated volume is 17.4 Å³ per atom.


(2)
BaMn2 | PBE-GGA | optimized geometry

It has space group P4/mmm (No. 123), with a = 3.7933 Å, b = 3.7933 Å, c = 5.7896 Å, α = 90.00°, β = 90.00° and γ = 90.00°. Symmetry generates all atoms from Ba at (0.0000, 0.0000, 0.0000) and Mn at (0.0000, 0.5000, 0.5000).

As for the size of the total moment: 7.4 μB/f.u. The density is 4.9 g/cm³. For the energy, the calculation gives -5.899 eV/atom. The value obtained for the calculated volume is 27.8 Å³ per atom.


- size of the total moment of number 1 (AcZnCu3Ni)?
  0.0 μB/f.u.


- Which formula does entry 1 have?
  AcZnCu3Ni


- Look up the energy of the second one.
  -5.899 eV/atom